GGA+U TeOsWF2, optimized geometry; electronic total energy = -24.72 eV per cell; SG = P4/mmm; Fermi-level density of states = 1.06 states/eV/f.u.
1.0
-2.7941 -3.1355 -0.5942
0.7488 -1.5848 4.8411
-3.1311 2.5408 1.3161
Te F Os W
1 2 1 1
Direct
0.0000 0.0000 0.0000
0.5000 0.0000 0.0000
0.0000 0.0000 0.5000
0.0000 0.5000 0.0000
0.5000 0.5000 0.5000